1.
DFT (PBE-GGA) results for a relaxed structure of ZnGaPb2.

Computed properties:
- polymorph energy (0 for the lowest one) (kJ per mole of atoms) = 10.74
- ΔH_f (0 K) (eV per atom) = 0.23
- magnetization (μB per formula unit) = 0.000
- density of states at the Fermi level (states/eV/cell) = 4.46

Cell lengths 4.534, 4.534, 10.988 Å; angles 78.09, 78.09, 90.00 degrees
Positions (direct):
Pb1 0.622 0.125 0.250
Pb2 0.128 0.625 0.250
Pb3 0.375 0.378 0.750
Pb4 0.875 0.872 0.750
Zn1 0.500 0.500 0.000
Zn2 0.250 0.750 0.500
Ga1 0.000 0.000 0.000
Ga2 0.750 0.250 0.500


2.
DFT (PBE-GGA) results for a relaxed structure of Zn2GaPb.

Computed properties:
- polymorph energy (0 for the lowest one) (kJ per mole of atoms) = 5.58
- ΔH_f (0 K) (eV per atom) = 0.18
- magnetization (μB per formula unit) = 0.000
- density of states at the Fermi level (states/eV/cell) = 1.59

Cell lengths 4.321, 4.414, 4.414 Å; angles 90.00, 90.00, 90.00 degrees
Positions (direct):
Pb1 0.500 0.000 0.000
Zn1 0.000 0.000 0.500
Zn2 0.000 0.500 0.000
Ga1 0.500 0.500 0.500


3.
DFT (PBE-GGA) results for a relaxed structure of Zn6Ga12Pb.

Computed properties:
- ΔH_f (0 K) (eV per atom) = 0.06
- magnetization (μB per formula unit) = 0.000
- density of states at the Fermi level (states/eV/cell) = 7.48

Cell lengths 7.513, 7.513, 7.513 Å; angles 105.84, 105.84, 105.84 degrees
Positions (direct):
Zn1 0.700 0.301 0.301
Zn2 0.301 0.301 0.700
Zn3 0.301 0.700 0.301
Zn4 0.699 0.699 0.300
Zn5 0.300 0.699 0.699
Zn6 0.699 0.300 0.699
Ga1 0.886 0.114 0.500
Ga2 0.886 0.634 0.634
Ga3 0.634 0.634 0.886
Ga4 0.366 0.114 0.366
Ga5 0.366 0.366 0.114
Ga6 0.114 0.366 0.366
Ga7 0.114 0.500 0.886
Ga8 0.500 0.886 0.114
Ga9 0.114 0.886 0.500
Ga10 0.886 0.500 0.114
Ga11 0.500 0.114 0.886
Ga12 0.634 0.886 0.634
Pb1 0.000 0.000 0.000


4.
DFT (PBE-GGA) results for a relaxed structure of Zn3Ga3Pb.

Computed properties:
- ΔH_f (0 K) (eV per atom) = 0.33
- magnetization (μB per formula unit) = 0.000
- density of states at the Fermi level (states/eV/cell) = 7.16

Cell lengths 7.041, 7.041, 7.041 Å; angles 90.00, 90.00, 90.00 degrees
Positions (direct):
Pb1 0.500 0.500 0.500
Pb2 0.000 0.000 0.000
Zn1 0.000 0.250 0.500
Zn2 0.000 0.750 0.500
Zn3 0.500 0.000 0.750
Zn4 0.750 0.500 0.000
Zn5 0.500 0.000 0.250
Zn6 0.250 0.500 0.000
Ga1 0.250 0.000 0.500
Ga2 0.000 0.500 0.250
Ga3 0.500 0.750 0.000
Ga4 0.750 0.000 0.500
Ga5 0.000 0.500 0.750
Ga6 0.500 0.250 0.000